Zr4Mn | GGA-PBE | optimized geometry

Output
Calculated volume: 22.91 A^3/atom
DOS(E_F): 9.3 states/eV/f.u.
Energy of formation: 0.344 eV per atom

a = 4.856 Å, b = 4.856 Å, c = 4.856 Å
α = 90.00°, β = 90.00°, γ = 90.00°
Space group Pm-3m (No. 221)
Symmetry-distinct sites (fractional):
Zr  0.000  0.000  0.000 x1
Zr  0.000  0.500  0.500 x3
Mn  0.500  0.500  0.500 x1

***

KAgRhBr6 | GGA-PBE | optimized geometry

Output
Raw formation energy: -0.60 eV per atom
Calculated volume: 33.27 A^3/atom
DOS(E_F): 12.0 states/eV/f.u.

a = 6.9968 Å, b = 6.9968 Å, c = 7.0612 Å
α = 90.00°, β = 90.00°, γ = 120.00°
Space group P312 (No. 149)
Symmetry-distinct sites (fractional):
K  0.0000  0.0000  0.0000 x1
Ag  0.3333  0.6667  0.5000 x1
Rh  0.6667  0.3333  0.5000 x1
Br  0.3851  0.0318  0.7054 x6

***

Sr2SnHAu | GGA-PBE | optimized geometry

Output
Calculated volume: 25.02 A^3/atom
Calculated total energy: -3.356 eV/atom
DOS(E_F): 1.0 states/eV/f.u.

a = 5.693 Å, b = 5.693 Å, c = 3.860 Å
α = 90.00°, β = 90.00°, γ = 90.00°
Space group P4/mmm (No. 123)
Symmetry-distinct sites (fractional):
Sr  0.000  0.500  0.000 x2
Sn  0.000  0.000  0.500 x1
H  0.500  0.500  0.000 x1
Au  0.500  0.500  0.500 x1

***

MgNbZnNi | GGA-PBE | optimized geometry

Output
Calculated volume: 15.29 A^3/atom
DOS(E_F): 2.7 states/eV/f.u.
Energy of formation: -0.065 eV per atom

a = 6.254 Å, b = 6.254 Å, c = 6.254 Å
α = 90.00°, β = 90.00°, γ = 90.00°
Space group F-43m (No. 216)
Symmetry-distinct sites (fractional):
Mg  0.000  0.000  0.000 x4
Nb  0.000  0.000  0.500 x4
Zn  0.250  0.250  0.250 x4
Ni  0.250  0.250  0.750 x4

***

DyYErLu | GGA-PBE | optimized geometry

Output
Calculated volume: 31.40 A^3/atom
DOS(E_F): 9.5 states/eV/f.u.
Energy of formation: 0.132 eV per atom

a = 7.950 Å, b = 7.950 Å, c = 7.950 Å
α = 90.00°, β = 90.00°, γ = 90.00°
Space group F-43m (No. 216)
Symmetry-distinct sites (fractional):
Dy  0.000  0.000  0.000 x4
Y  0.000  0.000  0.500 x4
Er  0.250  0.250  0.250 x4
Lu  0.250  0.250  0.750 x4

***

Sm2TlCo | GGA-PBE | optimized geometry

Output
Calculated volume: 24.55 A^3/atom
DOS(E_F): 3.1 states/eV/f.u.
Energy of formation: -0.184 eV per atom

a = 3.436 Å, b = 3.436 Å, c = 8.317 Å
α = 90.00°, β = 90.00°, γ = 90.00°
Space group P4/mmm (No. 123)
Symmetry-distinct sites (fractional):
Sm  0.000  0.000  0.202 x2
Tl  0.500  0.500  0.500 x1
Co  0.500  0.500  0.000 x1